1.
Below is a relaxed NaLa2TaO6 crystal, with properties calculated at the PBEsol level. Values from VASP.

Geometry as Quantum ESPRESSO input:
```
&SYSTEM
  ibrav = 0, nat = 20, ntyp = 4
/
ATOMIC_SPECIES
Na 22.99 Na.upf
La 138.91 La.upf
Ta 180.95 Ta.upf
O 16.00 O.upf
CELL_PARAMETERS angstrom
5.656 0.000 0.000
0.000 5.958 0.000
-5.505 0.000 8.131
ATOMIC_POSITIONS crystal
Na 0.000 0.000 0.000
Na 0.000 0.500 0.500
La 0.226 0.060 0.744
La 0.226 0.440 0.244
La 0.774 0.560 0.756
La 0.774 0.940 0.256
Ta 0.500 0.000 0.500
Ta 0.500 0.500 0.000
O 0.161 0.176 0.448
O 0.161 0.324 0.948
O 0.257 0.723 0.426
O 0.257 0.777 0.926
O 0.394 0.057 0.272
O 0.394 0.443 0.772
O 0.606 0.557 0.228
O 0.606 0.943 0.728
O 0.743 0.223 0.074
O 0.743 0.277 0.574
O 0.839 0.676 0.052
O 0.839 0.824 0.552
```

Values from the calculation:
- symmetry = P2_1/c, No. 14



2.
Below is a relaxed NaLaTiO4 crystal, with properties calculated at the PBEsol level. Values from VASP.

Geometry as Quantum ESPRESSO input:
```
&SYSTEM
  ibrav = 0, nat = 14, ntyp = 4
/
ATOMIC_SPECIES
Na 22.99 Na.upf
La 138.91 La.upf
Ti 47.87 Ti.upf
O 16.00 O.upf
CELL_PARAMETERS angstrom
3.747 0.000 0.000
0.000 3.747 0.000
0.000 0.000 13.042
ATOMIC_POSITIONS crystal
Na 0.250 0.250 0.084
Na 0.750 0.750 0.916
La 0.250 0.250 0.391
La 0.750 0.750 0.609
Ti 0.250 0.250 0.774
Ti 0.750 0.750 0.226
O 0.250 0.250 0.571
O 0.250 0.250 0.908
O 0.250 0.750 0.262
O 0.250 0.750 0.738
O 0.750 0.250 0.262
O 0.750 0.250 0.738
O 0.750 0.750 0.092
O 0.750 0.750 0.429
```

Values from the calculation:
- symmetry = P4/nmm, No. 129



3.
Below is a relaxed Na2La2Ti3O10 crystal, with properties calculated at the PBEsol level. Values from VASP.

Geometry as Quantum ESPRESSO input:
```
&SYSTEM
  ibrav = 0, nat = 17, ntyp = 4
/
ATOMIC_SPECIES
Na 22.99 Na.upf
La 138.91 La.upf
Ti 47.87 Ti.upf
O 16.00 O.upf
CELL_PARAMETERS angstrom
-1.916 1.916 14.239
1.916 -1.916 14.239
1.916 1.916 -14.239
ATOMIC_POSITIONS crystal
Na 0.211 0.211 0.000
Na 0.789 0.789 0.000
La 0.075 0.075 0.000
La 0.925 0.925 0.000
Ti 0.353 0.353 0.000
Ti 0.500 0.500 0.000
Ti 0.647 0.647 0.000
O 0.000 0.500 0.500
O 0.133 0.633 0.500
O 0.291 0.291 0.000
O 0.367 0.867 0.500
O 0.432 0.432 0.000
O 0.500 0.000 0.500
O 0.568 0.568 0.000
O 0.633 0.133 0.500
O 0.709 0.709 0.000
O 0.867 0.367 0.500
```

Values from the calculation:
- symmetry = I4/mmm, No. 139



| no. | electronic total energy (eV/atom) | formation energy from raw total energies (eV/atom) |
| --- | --- | --- |
| 1 | -8.720 | -3.106 |
| 2 | -8.157 | -3.005 |
| 3 | -8.396 | -3.046 |